Record 1
# Pm5Y4Sc, optimized geometry, DFT PBE
data_Pm5Y4Sc
_chemical_formula_sum 'Pm5 Y4 Sc1'
_symmetry_space_group_name_H-M 'P 4/m m m'
_symmetry_Int_Tables_number 123
_symmetry_space_group_name_Hall '-P 4 2'
_cell_length_a 3.6120
_cell_length_b 3.6120
_cell_length_c 24.8512
_cell_angle_alpha 90.00
_cell_angle_beta 90.00
_cell_angle_gamma 90.00
loop_
_atom_site_label
_atom_site_type_symbol
_atom_site_fract_x
_atom_site_fract_y
_atom_site_fract_z
Pm1 Pm 0.0000 0.0000 0.0000
Pm2 Pm 0.0000 0.0000 0.2048
Pm3 Pm 0.0000 0.0000 0.4086
Y1 Y 0.5000 0.5000 0.1024
Y2 Y 0.5000 0.5000 0.3068
Sc1 Sc 0.5000 0.5000 0.5000
# Formation energy ... 0.02 eV per atom
# Crystal system ... tetragonal
# Excess energy over the best structure of this formula in the dataset ... 0 meV per atom
# Energy ... -55.700 eV/f.u.
# DOS at the Fermi energy ... 1.431 states/eV/atom



Record 2
# Y2SeBr, optimized geometry, DFT PBE
data_Y2SeBr
_chemical_formula_sum 'Y4 Se2 Br2'
_symmetry_space_group_name_H-M 'C 1 m 1'
_symmetry_Int_Tables_number 8
_symmetry_space_group_name_Hall 'C -2y'
_cell_length_a 11.0349
_cell_length_b 3.6184
_cell_length_c 4.8471
_cell_angle_alpha 90.00
_cell_angle_beta 98.00
_cell_angle_gamma 90.00
loop_
_atom_site_label
_atom_site_type_symbol
_atom_site_fract_x
_atom_site_fract_y
_atom_site_fract_z
Y1 Y 0.0000 0.0000 0.0000
Y2 Y 0.2330 0.5000 0.4336
Se1 Se 0.4679 0.0000 0.4881
Br1 Br 0.2533 0.0000 0.9309
# Raw formation energy ... -1196 meV per atom
# Crystal system ... monoclinic
# Excess energy over the best structure of this formula in the dataset ... 150 meV per atom
# Energy ... -22.869 eV/f.u.
# DOS at the Fermi energy ... 0.712 states/eV/atom



Record 3
# TaTcPb3, optimized geometry, DFT PBE
data_TaTcPb3
_chemical_formula_sum 'Ta1 Tc1 Pb3'
_symmetry_space_group_name_H-M 'P m -3 m'
_symmetry_Int_Tables_number 221
_symmetry_space_group_name_Hall '-P 4 2 3'
_cell_length_a 5.2728
_cell_length_b 5.2728
_cell_length_c 5.2728
_cell_angle_alpha 90.00
_cell_angle_beta 90.00
_cell_angle_gamma 90.00
loop_
_atom_site_label
_atom_site_type_symbol
_atom_site_fract_x
_atom_site_fract_y
_atom_site_fract_z
Ta1 Ta 0.0000 0.0000 0.0000
Tc1 Tc 0.5000 0.5000 0.5000
Pb1 Pb 0.0000 0.5000 0.5000
# Formation energy ... 1.36 eV per atom
# Crystal system ... cubic
# Excess energy over the best structure of this formula in the dataset ... 0 meV per atom
# Energy ... -26.526 eV/f.u.
# DOS at the Fermi energy ... 1.863 states/eV/atom



Record 4
# SrSnAu5, optimized geometry, DFT PBE
data_SrSnAu5
_chemical_formula_sum 'Sr4 Sn4 Au20'
_symmetry_space_group_name_H-M 'P n m a'
_symmetry_Int_Tables_number 62
_symmetry_space_group_name_Hall '-P 2ac 2n'
_cell_length_a 9.4184
_cell_length_b 5.7197
_cell_length_c 11.4045
_cell_angle_alpha 90.00
_cell_angle_beta 90.00
_cell_angle_gamma 90.00
loop_
_atom_site_label
_atom_site_type_symbol
_atom_site_fract_x
_atom_site_fract_y
_atom_site_fract_z
Sr1 Sr 0.2465 0.2500 0.0544
Sn1 Sn 0.1457 0.7500 0.8468
Au1 Au 0.0762 0.7500 0.0755
Au2 Au 0.0765 0.0056 0.3000
Au3 Au 0.0829 0.2500 0.5195
Au4 Au 0.1694 0.2500 0.7663
# Formation energy ... -0.42 eV per atom
# Crystal system ... orthorhombic
# Energy ... -24.981 eV/f.u.
# DOS at the Fermi energy ... 0.258 states/eV/atom



Record 5
# TlRh2, optimized geometry, DFT PBE
data_TlRh2
_chemical_formula_sum 'Tl4 Rh8'
_symmetry_space_group_name_H-M 'P a -3'
_symmetry_Int_Tables_number 205
_symmetry_space_group_name_Hall '-P 2ac 2ab 3'
_cell_length_a 6.3318
_cell_length_b 6.3318
_cell_length_c 6.3318
_cell_angle_alpha 90.00
_cell_angle_beta 90.00
_cell_angle_gamma 90.00
loop_
_atom_site_label
_atom_site_type_symbol
_atom_site_fract_x
_atom_site_fract_y
_atom_site_fract_z
Tl1 Tl 0.0000 0.0000 0.0000
Rh1 Rh 0.1113 0.6113 0.8887
# Formation energy ... 0.85 eV per atom
# Crystal system ... cubic
# Excess energy over the best structure of this formula in the dataset ... 679 meV per atom
# Energy ... -14.504 eV/f.u.
# DOS at the Fermi energy ... 1.685 states/eV/atom



Record 6
# RbMgCdCl6, optimized geometry, DFT PBE
data_RbMgCdCl6
_chemical_formula_sum 'Rb1 Mg1 Cd1 Cl6'
_symmetry_space_group_name_H-M 'P 3 1 2'
_symmetry_Int_Tables_number 149
_symmetry_space_group_name_Hall 'P 3 2'
_cell_length_a 6.6783
_cell_length_b 6.6783
_cell_length_c 7.3677
_cell_angle_alpha 90.00
_cell_angle_beta 90.00
_cell_angle_gamma 120.00
loop_
_atom_site_label
_atom_site_type_symbol
_atom_site_fract_x
_atom_site_fract_y
_atom_site_fract_z
Rb1 Rb 0.0000 0.0000 0.0000
Mg1 Mg 0.3333 0.6667 0.5000
Cd1 Cd 0.6667 0.3333 0.5000
Cl1 Cl 0.0136 0.3868 0.7034
# Raw formation energy ... -1331 meV per atom
# Crystal system ... trigonal
# Energy ... -26.537 eV/f.u.
# DOS at the Fermi energy ... 1.078 states/eV/atom



Record 7
# FePt5, optimized geometry, DFT PBE
data_FePt5
_chemical_formula_sum 'Fe1 Pt5'
_symmetry_space_group_name_H-M 'P 4/m m m'
_symmetry_Int_Tables_number 123
_symmetry_space_group_name_Hall '-P 4 2'
_cell_length_a 2.7609
_cell_length_b 2.7609
_cell_length_c 11.9215
_cell_angle_alpha 90.00
_cell_angle_beta 90.00
_cell_angle_gamma 90.00
loop_
_atom_site_label
_atom_site_type_symbol
_atom_site_fract_x
_atom_site_fract_y
_atom_site_fract_z
Fe1 Fe 0.0000 0.0000 0.0000
Pt1 Pt 0.0000 0.0000 0.3285
Pt2 Pt 0.5000 0.5000 0.1525
Pt3 Pt 0.5000 0.5000 0.5000
# Formation energy ... -0.13 eV per atom
# Crystal system ... tetragonal
# Energy ... -39.457 eV/f.u.
# DOS at the Fermi energy ... 1.546 states/eV/atom



Record 8
# TcSbIr2, optimized geometry, DFT PBE
data_TcSbIr2
_chemical_formula_sum 'Tc2 Sb2 Ir4'
_symmetry_space_group_name_H-M 'C m m m'
_symmetry_Int_Tables_number 65
_symmetry_space_group_name_Hall '-C 2 2'
_cell_length_a 5.5904
_cell_length_b 7.9353
_cell_length_c 2.8866
_cell_angle_alpha 90.00
_cell_angle_beta 90.00
_cell_angle_gamma 90.00
loop_
_atom_site_label
_atom_site_type_symbol
_atom_site_fract_x
_atom_site_fract_y
_atom_site_fract_z
Tc1 Tc 0.0000 0.0000 0.0000
Sb1 Sb 0.0000 0.5000 0.0000
Ir1 Ir 0.2500 0.2500 0.5000
# Raw formation energy ... 202 meV per atom
# Crystal system ... orthorhombic
# Energy ... -31.401 eV/f.u.
# DOS at the Fermi energy ... 1.030 states/eV/atom



Record 9
# LaCeNpO6, optimized geometry, DFT PBE
data_LaCeNpO6
_chemical_formula_sum 'La2 Ce2 Np2 O12'
_symmetry_space_group_name_H-M 'P -3 1 c'
_symmetry_Int_Tables_number 163
_symmetry_space_group_name_Hall '-P 3 2c'
_cell_length_a 5.9983
_cell_length_b 5.9983
_cell_length_c 9.2971
_cell_angle_alpha 90.00
_cell_angle_beta 90.00
_cell_angle_gamma 120.00
loop_
_atom_site_label
_atom_site_type_symbol
_atom_site_fract_x
_atom_site_fract_y
_atom_site_fract_z
La1 La 0.3333 0.6667 0.2500
Ce1 Ce 0.0000 0.0000 0.0000
Np1 Np 0.3333 0.6667 0.7500
O1 O 0.0396 0.3598 0.8692
# Raw formation energy ... -3141 meV per atom
# Crystal system ... trigonal
# Energy ... -81.817 eV/f.u.
# DOS at the Fermi energy ... 0.985 states/eV/atom



Record 10
# LiPmGeRu, optimized geometry, DFT PBE
data_LiPmGeRu
_chemical_formula_sum 'Li4 Pm4 Ge4 Ru4'
_symmetry_space_group_name_H-M 'F -4 3 m'
_symmetry_Int_Tables_number 216
_symmetry_space_group_name_Hall 'F -4 2 3'
_cell_length_a 6.5627
_cell_length_b 6.5627
_cell_length_c 6.5627
_cell_angle_alpha 90.00
_cell_angle_beta 90.00
_cell_angle_gamma 90.00
loop_
_atom_site_label
_atom_site_type_symbol
_atom_site_fract_x
_atom_site_fract_y
_atom_site_fract_z
Li1 Li 0.0000 0.0000 0.0000
Pm1 Pm 0.2500 0.2500 0.2500
Ge1 Ge 0.2500 0.2500 0.7500
Ru1 Ru 0.0000 0.0000 0.5000
# Formation energy ... -0.28 eV per atom
# Crystal system ... cubic
# Energy ... -21.691 eV/f.u.
# DOS at the Fermi energy ... 1.026 states/eV/atom



Record 11
# LiFeTe2, optimized geometry, DFT PBE
data_LiFeTe2
_chemical_formula_sum 'Li2 Fe2 Te4'
_symmetry_space_group_name_H-M 'C 1 m 1'
_symmetry_Int_Tables_number 8
_symmetry_space_group_name_Hall 'C -2y'
_cell_length_a 13.6565
_cell_length_b 3.4435
_cell_length_c 4.2380
_cell_angle_alpha 90.00
_cell_angle_beta 96.55
_cell_angle_gamma 90.00
loop_
_atom_site_label
_atom_site_type_symbol
_atom_site_fract_x
_atom_site_fract_y
_atom_site_fract_z
Li1 Li 0.0000 0.0000 0.0000
Fe1 Fe 0.2961 0.5000 0.3823
Te1 Te 0.2073 0.0000 0.9830
Te2 Te 0.4410 0.0000 0.4745
# Raw formation energy ... -168 meV per atom
# Crystal system ... monoclinic
# Energy ... -17.333 eV/f.u.
# DOS at the Fermi energy ... 0.279 states/eV/atom



Record 12
# KTl2P2O6, optimized geometry, DFT PBE
data_KTl2P2O6
_chemical_formula_sum 'K2 Tl4 P4 O12'
_symmetry_space_group_name_H-M 'C 1 2/m 1'
_symmetry_Int_Tables_number 12
_symmetry_space_group_name_Hall '-C 2y'
_cell_length_a 9.8462
_cell_length_b 6.8026
_cell_length_c 7.1560
_cell_angle_alpha 90.00
_cell_angle_beta 111.34
_cell_angle_gamma 90.00
loop_
_atom_site_label
_atom_site_type_symbol
_atom_site_fract_x
_atom_site_fract_y
_atom_site_fract_z
K1 K 0.0000 0.0000 0.0000
Tl1 Tl 0.1937 0.0000 0.6449
P1 P 0.0408 0.5000 0.8523
O1 O 0.0329 0.3107 0.2509
O2 O 0.2056 0.5000 0.9548
# Raw formation energy ... -1668 meV per atom
# Crystal system ... monoclinic
# Energy ... -64.746 eV/f.u.
# DOS at the Fermi energy ... 0.007 states/eV/atom